AgRh2Au (PBE-GGA, relaxed); DOS(E_F) = 4.9 states/eV/f.u.; SG = No. 160; mass density = 13.21 g/cm3; distance to the lowest polymorph of the same formula = 0.036 eV/atom; formation enthalpy at 0 K = 0.58 eV per formula unit
1.0
9.405 -1.406 -0.001
9.405 1.406 -0.001
9.195 0.000 2.426
Au Rh Ag
1 2 1
Cartesian
7.079 0.000 0.613
20.888 0.000 1.808
0.124 0.000 0.011
13.916 0.000 1.205